No. 1
## ScZnCoNi (PBE)

Data for a geometry-optimized ScZnCoNi structure.

Output
Formation energy from the elements in eV/atom: -0.313
Uncorrected energy in eV for the cell shown: -21.7
SG: F-43m, No. 216
Calculated volume in A^3/atom: 13.55

Lattice parameters (Å, degrees): 4.248 4.248 4.248 60.00 60.00 60.00
Sites, in units of the cell vectors:
Sc 0.000 0.000 0.000
Zn 0.500 0.500 0.500
Ni 0.250 0.250 0.250
Co 0.750 0.750 0.750

No. 2
## Sc5Zn2Co2Ni (PBE)

Data for a geometry-optimized Sc5Zn2Co2Ni structure.

Output
Formation energy from the elements in eV/atom: -0.258
Uncorrected energy in eV for the cell shown: -113.5
SG: P4/mbm, No. 127
Calculated volume in A^3/atom: 17.91

Lattice parameters (Å, degrees): 3.209 10.565 10.565 90.00 90.00 90.00
Sites, in units of the cell vectors:
Co 0.000 0.135 0.635
Zn 0.000 0.175 0.325
Sc 0.500 0.197 0.075
Sc 0.500 0.697 0.425
Sc 0.500 0.000 0.500
Co 0.000 0.865 0.365
Sc 0.500 0.575 0.697
Zn 0.000 0.675 0.175
Co 0.000 0.635 0.865
Ni 0.000 0.000 0.000
Zn 0.000 0.825 0.675
Sc 0.500 0.303 0.575
Sc 0.500 0.925 0.197
Zn 0.000 0.325 0.825
Ni 0.000 0.500 0.500
Sc 0.500 0.500 0.000
Sc 0.500 0.425 0.303
Sc 0.500 0.075 0.803
Co 0.000 0.365 0.135
Sc 0.500 0.803 0.925

No. 3
## Sc4ZnCo2Ni (PBE)

Data for a geometry-optimized Sc4ZnCo2Ni structure.

Output
Formation energy from the elements in eV/atom: -0.379
Uncorrected energy in eV for the cell shown: -49.6
SG: R-3m, No. 166
Calculated volume in A^3/atom: 16.25

Lattice parameters (Å, degrees): 4.511 4.511 7.822 73.24 73.24 60.00
Site moments in Bohr magnetons follow the coordinates.
Sites, in units of the cell vectors:
Sc 0.622 0.622 0.135  -0.03
Sc 0.128 0.128 0.617  -0.02
Co 0.750 0.750 0.751  0.17
Zn 0.000 0.000 0.000  0.00
Ni 0.500 0.500 0.500  0.03
Sc 0.378 0.378 0.865  -0.03
Sc 0.872 0.872 0.383  -0.02
Co 0.250 0.250 0.249  0.17

No. 4
## Sc2ZnCo2Ni5 (PBE)

Data for a geometry-optimized Sc2ZnCo2Ni5 structure.

Output
Formation energy from the elements in eV/atom: -0.248
Uncorrected energy in eV for the cell shown: -119.1
SG: P4/mbm, No. 127
Calculated volume in A^3/atom: 13.18

Lattice parameters (Å, degrees): 3.764 8.368 8.368 90.00 90.00 90.00
Site moments in Bohr magnetons follow the coordinates.
Sites, in units of the cell vectors:
Ni 0.500 0.705 0.432  0.30
Co 0.000 0.874 0.374  0.81
Co 0.000 0.374 0.126  0.81
Co 0.000 0.126 0.626  0.81
Ni 0.500 0.932 0.205  0.30
Zn 0.000 0.500 0.500  -0.01
Sc 0.000 0.172 0.328  -0.14
Ni 0.500 0.432 0.295  0.30
Ni 0.500 0.795 0.932  0.30
Sc 0.000 0.828 0.672  -0.14
Zn 0.000 0.000 0.000  -0.01
Ni 0.500 0.568 0.705  0.30
Ni 0.500 0.068 0.795  0.30
Ni 0.500 0.295 0.568  0.30
Ni 0.500 0.000 0.500  0.27
Ni 0.500 0.205 0.068  0.30
Sc 0.000 0.672 0.172  -0.14
Ni 0.500 0.500 0.000  0.27
Sc 0.000 0.328 0.828  -0.14
Co 0.000 0.626 0.874  0.81